Entry one
Ni3C | PBE | relaxed

abc: 6.128 6.128 2.583
angles: 90.00 90.00 120.00
Sites, in units of the cell vectors:
C 0.667 0.333 0.250
C 0.333 0.667 0.750
Ni 0.198 0.397 0.250
Ni 0.198 0.802 0.250
Ni 0.603 0.802 0.250
Ni 0.397 0.198 0.750
Ni 0.802 0.198 0.750
Ni 0.802 0.603 0.750

Summary:
Its volume is 10.504 Å³ per atom. As for the magnetization: 0.01 μB per cell. The calculated density is 7.4 g/cm³.

***

Entry two
Ni3C | PBE | relaxed

abc: 3.778 3.778 3.778
angles: 60.00 60.00 60.00
Sites, in units of the cell vectors:
C 0.750 0.750 0.750
Ni 0.000 0.000 0.000
Ni 0.250 0.250 0.250
Ni 0.500 0.500 0.500

Summary:
Its volume is 9.529 Å³ per atom. As for the magnetization: 0.07 μB per cell. The calculated density is 8.2 g/cm³.

***

The relative energies come out as entry one 0.000; entry two 0.486, with values in eV/atom.

***

Entry one
TbAgNO | PBE | relaxed

abc: 4.846 6.994 7.143
angles: 90.00 90.00 90.00
Sites, in units of the cell vectors:
Ag 0.451 0.179 0.124
Ag 0.951 0.179 0.376
Ag 0.451 0.821 0.624
Ag 0.951 0.821 0.876
N 0.953 0.618 0.098
N 0.453 0.618 0.402
N 0.953 0.382 0.598
N 0.453 0.382 0.902
O 0.942 0.082 0.095
O 0.442 0.082 0.405
O 0.942 0.918 0.595
O 0.442 0.918 0.905
Tb 0.452 0.659 0.081
Tb 0.952 0.659 0.419
Tb 0.452 0.341 0.581
Tb 0.952 0.341 0.919

Summary:
Its volume is 15.132 Å³ per atom. As for the magnetization: 0.06 μB per cell. The calculated density is 8.1 g/cm³.

***

Entry two
TbAgNO | PBE | relaxed

abc: 5.649 7.759 5.590
angles: 90.00 90.00 90.00
Last column: magnetic moment on the atom in μB.
Sites, in units of the cell vectors:
Ag 0.065 0.471 0.013  0.03
Ag 0.565 0.529 0.013  0.03
Ag 0.435 0.471 0.513  0.04
Ag 0.935 0.529 0.513  0.04
N 0.350 0.332 0.189  0.08
N 0.850 0.668 0.189  0.07
N 0.150 0.332 0.689  0.08
N 0.650 0.668 0.689  0.07
O 0.754 0.040 0.122  0.00
O 0.254 0.960 0.122  0.00
O 0.746 0.040 0.622  0.00
O 0.246 0.960 0.622  0.00
Tb 0.045 0.133 0.379  0.01
Tb 0.545 0.867 0.379  0.01
Tb 0.455 0.133 0.879  0.01
Tb 0.955 0.867 0.879  0.01

Summary:
Its volume is 15.314 Å³ per atom. As for the magnetization: 0.57 μB per cell. The calculated density is 8.0 g/cm³.

***

The relative energies come out as entry one 0.326; entry two 0.000, with values in eV/atom.

***

Entry one
RbYPt | PBE | relaxed

abc: 4.937 4.937 4.937
angles: 60.00 60.00 60.00
Sites, in units of the cell vectors:
Pt 0.250 0.250 0.250
Rb 0.000 0.000 0.000
Y 0.750 0.750 0.750

Summary:
Its volume is 28.358 Å³ per atom. As for the magnetization: 0.03 μB per cell. The calculated density is 7.2 g/cm³.

***

Entry two
RbYPt | PBE | relaxed

abc: 5.080 5.080 5.080
angles: 60.00 60.00 60.00
Sites, in units of the cell vectors:
Pt 0.000 0.000 0.000
Rb 0.250 0.250 0.250
Y 0.750 0.750 0.750

Summary:
Its volume is 30.898 Å³ per atom. As for the magnetization: 0.00 μB per cell. The calculated density is 6.6 g/cm³.

***

The relative energies come out as entry one 0.840; entry two 0.000, with values in eV/atom.

***

Entry one
NaSrSmS3 | PBE | relaxed

abc: 10.719 4.189 13.397
angles: 90.00 90.00 90.00
Sites, in units of the cell vectors:
Na 0.730 0.750 0.234
Na 0.230 0.750 0.266
Na 0.770 0.250 0.734
Na 0.270 0.250 0.766
S 0.913 0.750 0.111
S 0.537 0.750 0.120
S 0.238 0.250 0.157
S 0.738 0.250 0.343
S 0.037 0.750 0.380
S 0.413 0.750 0.389
S 0.587 0.250 0.611
S 0.963 0.250 0.620
S 0.262 0.750 0.657
S 0.762 0.750 0.843
S 0.463 0.250 0.880
S 0.087 0.250 0.889
Sm 0.982 0.250 0.236
Sm 0.482 0.250 0.264
Sm 0.518 0.750 0.736
Sm 0.018 0.750 0.764
Sr 0.288 0.750 0.000
Sr 0.788 0.750 0.500
Sr 0.212 0.250 0.500
Sr 0.712 0.250 0.000

Summary:
Its volume is 25.063 Å³ per atom. As for the magnetization: 0.02 μB per cell. The calculated density is 3.9 g/cm³.

***

Entry two
NaSrSmS3 | PBE | relaxed

abc: 7.030 7.030 10.580
angles: 90.00 90.00 145.29
Sites, in units of the cell vectors:
Na 0.521 0.479 0.250
Na 0.479 0.521 0.750
S 0.637 0.363 0.057
S 0.911 0.089 0.250
S 0.637 0.363 0.443
S 0.363 0.637 0.557
S 0.089 0.911 0.750
S 0.363 0.637 0.943
Sm 0.000 0.000 0.000
Sm 0.000 0.000 0.500
Sr 0.253 0.747 0.250
Sr 0.747 0.253 0.750

Summary:
Its volume is 24.807 Å³ per atom. As for the magnetization: 0.00 μB per cell. The calculated density is 4.0 g/cm³.

***

The relative energies come out as entry one 0.000; entry two 0.008, with values in eV/atom.